[1]
Al2InAg at its PBEsol-relaxed geometry. Source: Alexandria, functional meta-GGA SCAN.

As for the calculated total energy: -19.991 eV/atom. Its formation energy from the elements is 0.07 eV per atom. As for the space group: C2/m, No. 12. Its calculated volume is 18.27 Å³/atom.

abc: 3.081 5.038 5.017
angles: 99.04 107.88 90.00
Element x y z (fractional)
In  0.000  0.500  0.000
Ag  0.500  0.000  0.000
Al  0.243  0.234  0.485
Al  0.757  0.766  0.515


[2]
TcB2Os2 at its PBEsol-relaxed geometry. Source: Alexandria, functional meta-GGA SCAN.

As for the calculated total energy: -38.213 eV/atom. Its formation energy from the elements is 0.52 eV per atom. As for the space group: I4/mmm, No. 139. Its calculated volume is 11.88 Å³/atom.

abc: 3.798 3.798 4.917
angles: 112.72 112.72 90.00
Element x y z (fractional)
Os  0.354  0.354  0.709
Tc  0.000  0.000  0.000
Os  0.646  0.646  0.291
B  0.750  0.250  0.500
B  0.250  0.750  0.500


[3]
Al2ReNi at its PBEsol-relaxed geometry. Source: Alexandria, functional meta-GGA SCAN.

As for the calculated total energy: -25.891 eV/atom. Its formation energy from the elements is -0.20 eV per atom. As for the space group: P4mm, No. 99. Its calculated volume is 13.28 Å³/atom.

abc: 3.098 3.098 5.534
angles: 90.00 90.00 90.00
Element x y z (fractional)
Ni  0.000  0.000  0.478
Al  0.000  0.000  0.991
Re  0.500  0.500  0.756
Al  0.500  0.500  0.276


[4]
Al2CuSi2O7F2 at its PBEsol-relaxed geometry. Source: Alexandria, functional meta-GGA SCAN.

As for the calculated total energy: -10.232 eV/atom. For the formation energy (no corrections), the calculation gives -2.986 eV/atom. As for the space group: Pnma, No. 62. Its calculated volume is 10.65 Å³/atom.

abc: 4.769 8.888 14.074
angles: 90.00 90.00 90.00
Element x y z (fractional)
O  0.200  0.487  0.942
O  0.700  0.013  0.058
Al  0.096  0.369  0.450
O  0.300  0.987  0.558
F  0.104  0.746  0.468
Al  0.404  0.869  0.450
Si  0.405  0.439  0.853
Al  0.904  0.631  0.950
O  0.746  0.524  0.250
O  0.754  0.024  0.250
O  0.966  0.243  0.353
O  0.300  0.987  0.942
Cu  0.363  0.855  0.250
F  0.604  0.754  0.532
O  0.200  0.487  0.558
O  0.246  0.976  0.750
O  0.034  0.757  0.647
O  0.966  0.243  0.147
Al  0.096  0.369  0.050
Si  0.905  0.061  0.353
O  0.254  0.476  0.750
F  0.104  0.746  0.032
O  0.534  0.743  0.353
Si  0.595  0.561  0.353
F  0.604  0.754  0.968
O  0.800  0.513  0.058
Cu  0.863  0.645  0.750
O  0.197  0.965  0.356
O  0.697  0.535  0.856
O  0.697  0.535  0.644
O  0.197  0.965  0.144
Si  0.095  0.939  0.853
Si  0.595  0.561  0.147
O  0.303  0.465  0.356
O  0.803  0.035  0.644
O  0.800  0.513  0.442
F  0.896  0.254  0.968
F  0.896  0.254  0.532
O  0.700  0.013  0.442
F  0.396  0.246  0.468
Al  0.904  0.631  0.550
F  0.396  0.246  0.032
Cu  0.637  0.145  0.750
Al  0.404  0.869  0.050
O  0.466  0.257  0.647
O  0.303  0.465  0.144
O  0.803  0.035  0.856
Si  0.405  0.439  0.647
Si  0.905  0.061  0.147
O  0.534  0.743  0.147
Cu  0.137  0.355  0.250
Al  0.596  0.131  0.550
Si  0.095  0.939  0.647
O  0.034  0.757  0.853
O  0.466  0.257  0.853
Al  0.596  0.131  0.950


[5]
GeRuIO2 at its PBEsol-relaxed geometry. Source: Alexandria, functional meta-GGA SCAN.

As for the calculated total energy: -20.627 eV/atom. For the formation energy (no corrections), the calculation gives -0.003 eV/atom. As for the space group: P4/mmm, No. 123. Its calculated volume is 17.53 Å³/atom.

abc: 3.838 3.838 5.949
angles: 90.00 90.00 90.00
Element x y z (fractional)
Ge  0.500  0.500  0.500
O  0.000  0.500  0.000
O  0.500  0.000  0.000
Ru  0.000  0.000  0.000
I  0.000  0.000  0.500


[6]
SnMoH3 at its PBEsol-relaxed geometry. Source: Alexandria, functional meta-GGA SCAN.

As for the calculated total energy: -14.756 eV/atom. As for the space group: Pm-3m, No. 221. Its calculated volume is 10.07 Å³/atom.

abc: 3.693 3.693 3.693
angles: 90.00 90.00 90.00
Element x y z (fractional)
Mo  0.500  0.500  0.500
H  0.000  0.500  0.000
H  0.000  0.000  0.500
Sn  0.000  0.000  0.000
H  0.500  0.000  0.000